This record from Alexandria describes a relaxed structure of Li4Tl3Pd. The functional is PBE-GGA.

ΔH_f (0 K): -0.29 eV/atom
offset from the most stable computed form: 0.000 eV per atom
total energy: -2.78 eV per atom

Cell: 7.3280 7.3280 4.7551 Å, 108.82 108.82 37.86°
With the nearest neighbours (Å) after each atom.
Positions (direct):
Li (0.1146, 0.1146, 0.1136)  6 Tl 2.81-3.10, 2 Pd 2.81, 1 Li 2.99
Li (0.3854, 0.3854, 0.3860)  2 Pd 2.81, 6 Tl 2.81-3.09, 1 Li 2.99
Li (0.6146, 0.6146, 0.6140)  2 Pd 2.81, 6 Tl 2.81-3.09, 1 Li 2.99
Li (0.8854, 0.8854, 0.8864)  6 Tl 2.81-3.10, 2 Pd 2.81, 1 Li 2.99
Tl (0.0000, 0.0000, 0.5000)  8 Li 2.81
Tl (0.2664, 0.2664, 0.7668)  8 Li 2.84-3.10, 1 Pd 3.04
Tl (0.7336, 0.7336, 0.2332)  8 Li 2.84-3.10, 1 Pd 3.04
Pd (0.5000, 0.5000, 0.0000)  8 Li 2.81, 2 Tl 3.04